# PBE+U BaW2O6, optimized geometry
data_BaW2O6
_space_group_name_H-M_alt 'P 1'
_space_group_IT_number 1
_cell_length_a 5.7629
_cell_length_b 5.5178
_cell_length_c 5.5178
_cell_angle_alpha 122.43
_cell_angle_beta 89.17
_cell_angle_gamma 89.17
loop_
_space_group_symop_operation_xyz
'x,y,z'
loop_
_atom_site_label
_atom_site_type_symbol
_atom_site_fract_x
_atom_site_fract_y
_atom_site_fract_z
_atom_site_occupancy
W1 W 0.5000 0.6607 0.3393 1
W2 W 0.5000 0.3393 0.6607 1
O1 O 0.6960 0.6130 0.6130 1
O2 O 0.6897 0.3851 0.0070 1
Ba1 Ba 0.0000 0.0000 0.0000 1
O3 O 0.3103 0.6149 0.9930 1
O4 O 0.3040 0.3870 0.3870 1
O5 O 0.3103 0.9930 0.6149 1
O6 O 0.6897 0.0070 0.3851 1
# Energy above the most stable polymorph in this dataset = 0.00 eV/f.u.
# Total magnetic moment = 2.00 μB/cell